# 1
Density functional theory data (PBE-GGA) for a relaxed structure of BiS2N.

## Properties
Fermi-level density of states: 0.975 states/eV per atom
distance to the lowest polymorph of the same formula: 565 meV/atom
E_form (uncorrected): 875 meV per atom

abc: 5.496 5.496 6.502
angles: 65.00 65.00 90.00
Element x y z (fractional)
Bi: 0.000 0.000 0.000
Bi: 0.750 0.250 0.500
S: 0.448 0.125 0.250
S: 0.375 0.552 0.750
S: 0.875 0.698 0.750
S: 0.302 0.625 0.250
N: 0.250 0.750 0.500
N: 0.500 0.500 0.000

# 2
Density functional theory data (PBE-GGA) for a relaxed structure of BiS2N2.

## Properties
Fermi-level density of states: 0.668 states/eV per atom
distance to the lowest polymorph of the same formula: 1959 meV/atom
E_form (uncorrected): 1953 meV per atom

abc: 4.275 4.275 5.644
angles: 90.00 90.00 90.00
Site moments in Bohr magnetons follow the coordinates.
Element x y z (fractional)
N: 0.500 0.000 0.000  0.82
N: 0.000 0.500 0.000  0.82
S: 0.500 0.500 0.500  0.34
S: 0.000 0.000 0.500  0.04
Bi: 0.000 0.000 0.000  -0.09

# 3
Density functional theory data (PBE-GGA) for a relaxed structure of BiS2N2.

## Properties
Fermi-level density of states: 0.278 states/eV per atom
distance to the lowest polymorph of the same formula: 1474 meV/atom
E_form (uncorrected): 1468 meV per atom

abc: 4.008 4.008 4.448
angles: 90.00 90.00 90.00
Site moments in Bohr magnetons follow the coordinates.
Element x y z (fractional)
N: 0.000 0.000 0.500  0.46
N: 0.000 0.000 0.000  -0.12
Bi: 0.500 0.500 0.500  -0.06
S: 0.000 0.500 0.000  0.04
S: 0.500 0.000 0.000  0.04

# 4
Density functional theory data (PBE-GGA) for a relaxed structure of BiS2N.

## Properties
Fermi-level density of states: 0.361 states/eV per atom
distance to the lowest polymorph of the same formula: 837 meV/atom
E_form (uncorrected): 1147 meV per atom

abc: 6.261 6.261 6.261
angles: 36.70 36.70 36.70
Site moments in Bohr magnetons follow the coordinates.
Element x y z (fractional)
S: 0.259 0.259 0.259  0.03
S: 0.741 0.741 0.741  0.03
Bi: 0.500 0.500 0.500  0.15
N: 0.000 0.000 0.000  1.23

# 5
Density functional theory data (PBE-GGA) for a relaxed structure of BiS2N.

## Properties
Fermi-level density of states: 0.236 states/eV per atom
distance to the lowest polymorph of the same formula: 895 meV/atom
E_form (uncorrected): 1205 meV per atom

abc: 8.250 8.250 8.250
angles: 23.44 23.44 23.44
Element x y z (fractional)
S: 0.883 0.883 0.883
S: 0.117 0.117 0.117
N: 0.500 0.500 0.500
Bi: 0.000 0.000 0.000

# 6
Density functional theory data (PBE-GGA) for a relaxed structure of BiSN3.

## Properties
Fermi-level density of states: 1.143 states/eV per atom
E_form (uncorrected): 2638 meV per atom

abc: 4.282 4.282 4.282
angles: 90.00 90.00 90.00
Element x y z (fractional)
Bi: 0.000 0.000 0.000
S: 0.500 0.500 0.500
N: 0.000 0.000 0.500
N: 0.000 0.500 0.000
N: 0.500 0.000 0.000

# 7
Density functional theory data (PBE-GGA) for a relaxed structure of Bi2SbSN.

## Properties
Fermi-level density of states: 0.834 states/eV per atom
E_form (uncorrected): 715 meV per atom

abc: 5.848 5.848 3.484
angles: 90.00 90.00 90.00
Element x y z (fractional)
S: 0.000 0.000 0.000
Bi: 0.000 0.500 0.000
Bi: 0.500 0.000 0.000
Sb: 0.500 0.500 0.500
N: 0.000 0.000 0.500

# 8
Density functional theory data (PBE-GGA) for a relaxed structure of BiSeS2N.

## Properties
Fermi-level density of states: 0.700 states/eV per atom
distance to the lowest polymorph of the same formula: 0 meV/atom
E_form (uncorrected): 766 meV per atom

abc: 5.054 5.054 3.715
angles: 90.00 90.00 90.00
Element x y z (fractional)
Bi: 0.500 0.500 0.500
Se: 0.000 0.000 0.000
S: 0.000 0.500 0.000
S: 0.500 0.000 0.000
N: 0.000 0.000 0.500

# 9
Density functional theory data (PBE-GGA) for a relaxed structure of BiSeSN2.

## Properties
Fermi-level density of states: 0.804 states/eV per atom
distance to the lowest polymorph of the same formula: 520 meV/atom
E_form (uncorrected): 1821 meV per atom

abc: 4.294 4.294 6.021
angles: 90.00 90.00 90.00
Site moments in Bohr magnetons follow the coordinates.
Element x y z (fractional)
N: 0.000 0.500 0.000  0.86
N: 0.500 0.000 0.000  0.86
S: 0.500 0.500 0.500  0.22
Se: 0.000 0.000 0.500  0.05
Bi: 0.000 0.000 0.000  -0.08

# 10
Density functional theory data (PBE-GGA) for a relaxed structure of BiSeSN2.

## Properties
Fermi-level density of states: 0.662 states/eV per atom
distance to the lowest polymorph of the same formula: 174 meV/atom
E_form (uncorrected): 1475 meV per atom

abc: 3.979 3.979 4.911
angles: 90.00 90.00 90.00
Site moments in Bohr magnetons follow the coordinates.
Element x y z (fractional)
Se: 0.000 0.000 0.500  0.03
N: 0.500 0.000 0.000  0.28
N: 0.000 0.500 0.000  0.28
S: 0.000 0.000 0.000  0.01
Bi: 0.500 0.500 0.500  -0.02

# 11
Density functional theory data (PBE-GGA) for a relaxed structure of BiSeSN2.

## Properties
Fermi-level density of states: 0.633 states/eV per atom
distance to the lowest polymorph of the same formula: 0 meV/atom
E_form (uncorrected): 1301 meV per atom

abc: 4.003 4.003 4.876
angles: 90.00 90.00 90.00
Site moments in Bohr magnetons follow the coordinates.
Element x y z (fractional)
Se: 0.000 0.000 0.000  0.00
N: 0.500 0.000 0.000  0.09
N: 0.000 0.500 0.000  0.09
S: 0.000 0.000 0.500  0.00
Bi: 0.500 0.500 0.500  -0.01

# 12
Density functional theory data (PBE-GGA) for a relaxed structure of BiSeSN2.

## Properties
Fermi-level density of states: 0.745 states/eV per atom
distance to the lowest polymorph of the same formula: 467 meV/atom
E_form (uncorrected): 1768 meV per atom

abc: 4.275 4.275 5.685
angles: 90.00 90.00 90.00
Site moments in Bohr magnetons follow the coordinates.
Element x y z (fractional)
Se: 0.500 0.500 0.500  0.35
N: 0.000 0.500 0.000  0.77
N: 0.500 0.000 0.000  0.77
S: 0.000 0.000 0.500  0.01
Bi: 0.000 0.000 0.000  -0.08

# 13
Density functional theory data (PBE-GGA) for a relaxed structure of BiSeS2N.

## Properties
Fermi-level density of states: 1.244 states/eV per atom
distance to the lowest polymorph of the same formula: 621 meV/atom
E_form (uncorrected): 1386 meV per atom

abc: 5.283 5.283 4.127
angles: 90.00 90.00 90.00
Element x y z (fractional)
Bi: 0.000 0.000 0.000
S: 0.500 0.000 0.000
S: 0.000 0.500 0.000
Se: 0.500 0.500 0.500
N: 0.000 0.000 0.500

# 14
Density functional theory data (PBE-GGA) for a relaxed structure of SiBiS2N.

## Properties
Fermi-level density of states: 0.877 states/eV per atom
distance to the lowest polymorph of the same formula: 1217 meV/atom
E_form (uncorrected): 1290 meV per atom

abc: 5.237 5.237 4.163
angles: 90.00 90.00 90.00
Element x y z (fractional)
Si: 0.500 0.500 0.500
N: 0.000 0.000 0.500
Bi: 0.000 0.000 0.000
S: 0.000 0.500 0.000
S: 0.500 0.000 0.000

# 15
Density functional theory data (PBE-GGA) for a relaxed structure of SiBiS2N.

## Properties
Fermi-level density of states: 0.422 states/eV per atom
distance to the lowest polymorph of the same formula: 0 meV/atom
E_form (uncorrected): 73 meV per atom

abc: 4.940 4.940 3.407
angles: 90.00 90.00 90.00
Element x y z (fractional)
Bi: 0.500 0.500 0.500
Si: 0.000 0.000 0.000
S: 0.500 0.000 0.000
S: 0.000 0.500 0.000
N: 0.000 0.000 0.500

# 16
Density functional theory data (PBE-GGA) for a relaxed structure of SnBiSN2.

## Properties
Fermi-level density of states: 0.528 states/eV per atom
E_form (uncorrected): 1242 meV per atom

abc: 4.347 4.347 5.451
angles: 90.00 90.00 90.00
Site moments in Bohr magnetons follow the coordinates.
Element x y z (fractional)
Sn: 0.500 0.500 0.500  -0.03
S: 0.000 0.000 0.500  0.04
N: 0.500 0.000 0.000  0.52
N: 0.000 0.500 0.000  0.52
Bi: 0.000 0.000 0.000  -0.04

# 17
Density functional theory data (PBE-GGA) for a relaxed structure of SrBi2SN.

## Properties
Fermi-level density of states: 1.815 states/eV per atom
E_form (uncorrected): 1780 meV per atom

abc: 6.229 5.249 6.229
angles: 90.00 90.00 90.00
Element x y z (fractional)
Bi: 0.000 0.000 0.500
Bi: 0.500 0.000 0.000
Sr: 0.000 0.000 0.000
S: 0.000 0.500 0.000
N: 0.500 0.500 0.500

# 18
Density functional theory data (PBE-GGA) for a relaxed structure of Sr6Bi2SN.

## Properties
Fermi-level density of states: 0.286 states/eV per atom
E_form (uncorrected): -1035 meV per atom

abc: 7.770 7.769 10.901
angles: 90.00 90.00 90.00
Element x y z (fractional)
Sr: 0.736 0.014 0.500
Sr: 0.764 0.986 0.000
Sr: 0.500 0.250 0.736
Sr: 0.000 0.750 0.764
Sr: 0.236 0.986 0.000
Sr: 0.736 0.486 0.500
Sr: 0.764 0.514 0.000
Sr: 0.264 0.014 0.500
Sr: 0.236 0.514 0.000
Sr: 0.264 0.486 0.500
Sr: 0.500 0.250 0.264
Sr: 0.000 0.750 0.236
Bi: 0.500 0.750 0.750
Bi: 0.000 0.250 0.250
Bi: 0.000 0.250 0.750
Bi: 0.500 0.750 0.250
N: 0.000 0.750 0.000
N: 0.500 0.250 0.500
S: 0.500 0.250 0.000
S: 0.000 0.750 0.500

# 19
Density functional theory data (PBE-GGA) for a relaxed structure of TaBiS2N.

## Properties
Fermi-level density of states: 0.832 states/eV per atom
distance to the lowest polymorph of the same formula: 1754 meV/atom
E_form (uncorrected): 1549 meV per atom

abc: 5.151 5.151 4.140
angles: 90.00 90.00 90.00
Site moments in Bohr magnetons follow the coordinates.
Element x y z (fractional)
S: 0.500 0.000 0.000  -0.11
S: 0.000 0.500 0.000  -0.11
Bi: 0.000 0.000 0.000  0.02
Ta: 0.500 0.500 0.500  1.86
N: 0.000 0.000 0.500  -0.31

# 20
Density functional theory data (PBE-GGA) for a relaxed structure of TaBiS2N.

## Properties
Fermi-level density of states: 0.633 states/eV per atom
distance to the lowest polymorph of the same formula: 0 meV/atom
E_form (uncorrected): -205 meV per atom

abc: 4.978 4.978 3.930
angles: 90.00 90.00 90.00
Element x y z (fractional)
S: 0.000 0.500 0.000
S: 0.500 0.000 0.000
Ta: 0.000 0.000 0.000
Bi: 0.500 0.500 0.500
N: 0.000 0.000 0.500

# 21
Density functional theory data (PBE-GGA) for a relaxed structure of TcBiSN2.

## Properties
Fermi-level density of states: 0.653 states/eV per atom
distance to the lowest polymorph of the same formula: 0 meV/atom
E_form (uncorrected): 530 meV per atom

abc: 3.955 3.955 4.951
angles: 90.00 90.00 90.00
Site moments in Bohr magnetons follow the coordinates.
Element x y z (fractional)
N: 0.500 0.000 0.000  0.08
N: 0.000 0.500 0.000  0.08
S: 0.000 0.000 0.500  0.00
Bi: 0.500 0.500 0.500  -0.03
Tc: 0.000 0.000 0.000  -0.04

# 22
Density functional theory data (PBE-GGA) for a relaxed structure of TcBiSN2.

## Properties
Fermi-level density of states: 0.371 states/eV per atom
distance to the lowest polymorph of the same formula: 1463 meV/atom
E_form (uncorrected): 1993 meV per atom

abc: 4.213 4.213 5.615
angles: 90.00 90.00 90.00
Site moments in Bohr magnetons follow the coordinates.
Element x y z (fractional)
N: 0.500 0.000 0.000  0.57
N: 0.000 0.500 0.000  0.57
S: 0.000 0.000 0.500  0.01
Tc: 0.500 0.500 0.500  3.83
Bi: 0.000 0.000 0.000  -0.01

# 23
Density functional theory data (PBE-GGA) for a relaxed structure of ThBiS2N.

## Properties
Fermi-level density of states: 0.058 states/eV per atom
E_form (uncorrected): -1154 meV per atom

abc: 4.037 4.037 14.276
angles: 90.00 90.00 90.00
Element x y z (fractional)
S: 0.000 0.500 0.106
S: 0.000 0.500 0.690
S: 0.500 0.000 0.894
S: 0.500 0.000 0.310
N: 0.000 0.000 0.500
N: 0.500 0.500 0.500
Th: 0.500 0.000 0.583
Th: 0.000 0.500 0.417
Bi: 0.500 0.000 0.132
Bi: 0.000 0.500 0.868

# 24
Density functional theory data (PBE-GGA) for a relaxed structure of TiBiS2N.

## Properties
Fermi-level density of states: 1.602 states/eV per atom
distance to the lowest polymorph of the same formula: 1366 meV/atom
E_form (uncorrected): 1071 meV per atom

abc: 5.169 5.169 4.185
angles: 90.00 90.00 90.00
Site moments in Bohr magnetons follow the coordinates.
Element x y z (fractional)
S: 0.500 0.000 0.000  -0.01
S: 0.000 0.500 0.000  -0.01
N: 0.000 0.000 0.500  -0.11
Bi: 0.000 0.000 0.000  0.00
Ti: 0.500 0.500 0.500  -0.05

# 25
Density functional theory data (PBE-GGA) for a relaxed structure of TiBiSN2.

## Properties
Fermi-level density of states: 1.070 states/eV per atom
distance to the lowest polymorph of the same formula: 1279 meV/atom
E_form (uncorrected): 1350 meV per atom

abc: 4.231 4.231 5.288
angles: 90.00 90.00 90.00
Site moments in Bohr magnetons follow the coordinates.
Element x y z (fractional)
Ti: 0.500 0.500 0.500  1.60
N: 0.500 0.000 0.000  -0.45
N: 0.000 0.500 0.000  -0.45
Bi: 0.000 0.000 0.000  0.02
S: 0.000 0.000 0.500  -0.07

# 26
Density functional theory data (PBE-GGA) for a relaxed structure of TiBiS2N.

## Properties
Fermi-level density of states: 0.744 states/eV per atom
distance to the lowest polymorph of the same formula: 0 meV/atom
E_form (uncorrected): -295 meV per atom

abc: 4.951 4.951 3.760
angles: 90.00 90.00 90.00
Element x y z (fractional)
Ti: 0.000 0.000 0.000
N: 0.000 0.000 0.500
S: 0.000 0.500 0.000
S: 0.500 0.000 0.000
Bi: 0.500 0.500 0.500

# 27
Density functional theory data (PBE-GGA) for a relaxed structure of TiBiSN2.

## Properties
Fermi-level density of states: 0.394 states/eV per atom
distance to the lowest polymorph of the same formula: 0 meV/atom
E_form (uncorrected): 71 meV per atom

abc: 3.993 3.993 4.944
angles: 90.00 90.00 90.00
Site moments in Bohr magnetons follow the coordinates.
Element x y z (fractional)
N: 0.000 0.500 0.000  0.16
N: 0.500 0.000 0.000  0.16
Bi: 0.500 0.500 0.500  -0.03
S: 0.000 0.000 0.500  0.00
Ti: 0.000 0.000 0.000  -0.02

# 28
Density functional theory data (PBE-GGA) for a relaxed structure of TlBiSN2.

## Properties
Fermi-level density of states: 0.647 states/eV per atom
distance to the lowest polymorph of the same formula: 0 meV/atom
E_form (uncorrected): 1280 meV per atom

abc: 4.508 4.508 5.449
angles: 90.00 90.00 90.00
Site moments in Bohr magnetons follow the coordinates.
Element x y z (fractional)
N: 0.500 0.000 0.000  0.80
N: 0.000 0.500 0.000  0.80
Tl: 0.500 0.500 0.500  0.00
S: 0.000 0.000 0.500  0.12
Bi: 0.000 0.000 0.000  -0.08

no.,calculated total energy (eV per atom)
1,-4.24
2,-3.80
3,-4.29
4,-3.97
5,-3.91
6,-3.96
7,-4.15
8,-4.02
9,-3.81
10,-4.15
11,-4.33
12,-3.86
13,-3.40
14,-3.89
15,-5.10
16,-4.49
17,-2.60
18,-4.07
19,-4.91
20,-6.67
21,-6.48
22,-5.01
23,-6.73
24,-4.60
25,-5.16
26,-5.97
27,-6.44
28,-4.12